(1)
# Sc2Co2CuNi5

Sc2Co2CuNi5 after structural relaxation (PBE, the Alexandria database).

Values from the calculation:
ΔH_f (0 K) ... -0.19 eV per atom

The structure in CIF format:
```
data_Sc2Co2CuNi5
_cell_length_a 8.3214
_cell_length_b 8.3214
_cell_length_c 3.7630
_cell_angle_alpha 90.00
_cell_angle_beta 90.00
_cell_angle_gamma 90.00
_space_group_name_H-M_alt 'P 4/m b m'
_space_group_IT_number 127
_space_group_name_Hall '-P 4 2ab'
loop_
_atom_site_label
_atom_site_fract_x
_atom_site_fract_y
_atom_site_fract_z
Sc1 0.1758 0.3242 0.0000
Co1 0.1228 0.6228 0.0000
Cu1 0.0000 0.0000 0.0000
Ni1 0.0000 0.5000 0.5000
Ni2 0.0656 0.7959 0.5000
```

***

(2)
# CoCuNi2Se6

CoCuNi2Se6 after structural relaxation (PBE, the Alexandria database).

Values from the calculation:
Raw formation energy ... -0.192 eV per atom

The structure in CIF format:
```
data_CoCuNi2Se6
_cell_length_a 10.4594
_cell_length_b 11.4452
_cell_length_c 6.4376
_cell_angle_alpha 90.00
_cell_angle_beta 111.75
_cell_angle_gamma 90.00
_space_group_name_H-M_alt 'C 1 2/c 1'
_space_group_IT_number 15
loop_
_space_group_symop_operation_xyz
'x,y,z'
'-x,-y,-z'
'-x,y,-z+1/2'
'x,-y,z+1/2'
'x+1/2,y+1/2,z'
'-x+1/2,-y+1/2,-z'
'-x+1/2,y+1/2,-z+1/2'
'x+1/2,-y+1/2,z+1/2'
loop_
_atom_site_label
_atom_site_fract_x
_atom_site_fract_y
_atom_site_fract_z
Co1 0.0000 0.0790 0.2500
Cu1 0.0000 0.2346 0.7500
Ni1 0.1292 0.4107 0.2361
Se1 0.1008 0.3997 0.5835
Se2 0.1277 0.0723 0.6444
Se3 0.1436 0.2105 0.1595
```

***

(3)
# Sm2Co3CuNi12

Sm2Co3CuNi12 after structural relaxation (PBE, the Alexandria database).

Values from the calculation:
ΔH_f (0 K) ... 0.12 eV per atom

The structure in CIF format:
```
data_Sm2Co3CuNi12
_cell_length_a 8.3219
_cell_length_b 8.3219
_cell_length_c 11.9091
_cell_angle_alpha 90.00
_cell_angle_beta 90.00
_cell_angle_gamma 120.00
_space_group_name_H-M_alt 'R -3 m'
_space_group_IT_number 166
_space_group_name_Hall '-R 3 2"'
loop_
_atom_site_label
_atom_site_fract_x
_atom_site_fract_y
_atom_site_fract_z
Sm1 0.0000 0.0000 0.2334
Co1 0.0000 0.5000 0.0000
Cu1 0.0000 0.0000 0.5000
Ni1 0.0189 0.5095 0.2085
Ni2 0.0496 0.5248 0.6016
```

***

(4)
# Sm2CoCu3Ni12

Sm2CoCu3Ni12 after structural relaxation (PBE, the Alexandria database).

Values from the calculation:
ΔH_f (0 K) ... 0.25 eV per atom

The structure in CIF format:
```
data_Sm2CoCu3Ni12
_cell_length_a 5.9647
_cell_length_b 5.9647
_cell_length_c 25.4227
_cell_angle_alpha 90.00
_cell_angle_beta 90.00
_cell_angle_gamma 120.00
_space_group_name_H-M_alt 'R -3 m'
_space_group_IT_number 166
_space_group_name_Hall '-R 3 2"'
loop_
_atom_site_label
_atom_site_fract_x
_atom_site_fract_y
_atom_site_fract_z
Sm1 0.0000 0.0000 0.1527
Co1 0.0000 0.0000 0.5000
Cu1 0.0000 0.5000 0.0000
Ni1 0.0533 0.5266 0.0966
Ni2 0.0726 0.5363 0.6152
```

***

(5)
# CoCuNiSn

CoCuNiSn after structural relaxation (PBE, the Alexandria database).

Values from the calculation:
ΔH_f (0 K) ... -0.02 eV per atom

The structure in CIF format:
```
data_CoCuNiSn
_cell_length_a 5.9733
_cell_length_b 5.9733
_cell_length_c 5.9733
_cell_angle_alpha 90.00
_cell_angle_beta 90.00
_cell_angle_gamma 90.00
_space_group_name_H-M_alt 'F -4 3 m'
_space_group_IT_number 216
_space_group_name_Hall 'F -4 2 3'
loop_
_atom_site_label
_atom_site_fract_x
_atom_site_fract_y
_atom_site_fract_z
Co1 0.0000 0.0000 0.0000
Cu1 0.2500 0.2500 0.2500
Ni1 0.0000 0.0000 0.5000
Sn1 0.2500 0.2500 0.7500
```

***

(6)
# Sr2CoCuNi

Sr2CoCuNi after structural relaxation (PBE, the Alexandria database).

Values from the calculation:
ΔH_f (0 K) ... 0.58 eV per atom

The structure in CIF format:
```
data_Sr2CoCuNi
_cell_length_a 5.5492
_cell_length_b 5.5492
_cell_length_c 4.4817
_cell_angle_alpha 90.00
_cell_angle_beta 90.00
_cell_angle_gamma 90.00
_space_group_name_H-M_alt 'P 4/m m m'
_space_group_IT_number 123
_space_group_name_Hall '-P 4 2'
loop_
_atom_site_label
_atom_site_fract_x
_atom_site_fract_y
_atom_site_fract_z
Sr1 0.0000 0.5000 0.0000
Co1 0.0000 0.0000 0.5000
Cu1 0.5000 0.5000 0.5000
Ni1 0.5000 0.5000 0.0000
```

***

(7)
# TaCoCuNi

TaCoCuNi after structural relaxation (PBE, the Alexandria database).

Values from the calculation:
ΔH_f (0 K) ... -0.12 eV per atom

The structure in CIF format:
```
data_TaCoCuNi
_cell_length_a 5.8807
_cell_length_b 5.8807
_cell_length_c 5.8807
_cell_angle_alpha 90.00
_cell_angle_beta 90.00
_cell_angle_gamma 90.00
_space_group_name_H-M_alt 'F -4 3 m'
_space_group_IT_number 216
_space_group_name_Hall 'F -4 2 3'
loop_
_atom_site_label
_atom_site_fract_x
_atom_site_fract_y
_atom_site_fract_z
Ta1 0.0000 0.0000 0.0000
Co1 0.2500 0.2500 0.2500
Cu1 0.0000 0.0000 0.5000
Ni1 0.2500 0.2500 0.7500
```

***

(8)
# Th2CoCuNi

Th2CoCuNi after structural relaxation (PBE, the Alexandria database).

Values from the calculation:
ΔH_f (0 K) ... -0.23 eV per atom

The structure in CIF format:
```
data_Th2CoCuNi
_cell_length_a 7.1845
_cell_length_b 4.2120
_cell_length_c 7.6609
_cell_angle_alpha 90.00
_cell_angle_beta 116.93
_cell_angle_gamma 90.00
_space_group_name_H-M_alt 'P 1 21/m 1'
_space_group_IT_number 11
loop_
_space_group_symop_operation_xyz
'x,y,z'
'-x,-y,-z'
'-x,y+1/2,-z'
'x,-y+1/2,z'
loop_
_atom_site_label
_atom_site_fract_x
_atom_site_fract_y
_atom_site_fract_z
Th1 0.2316 0.2500 0.3618
Th2 0.2471 0.2500 0.9078
Co1 0.1178 0.7500 0.0755
Cu1 0.3067 0.7500 0.6631
Ni1 0.4805 0.7500 0.2491
```

***

(9)
# Tm2Co2CuNi5

Tm2Co2CuNi5 after structural relaxation (PBE, the Alexandria database).

Values from the calculation:
ΔH_f (0 K) ... -0.16 eV per atom

The structure in CIF format:
```
data_Tm2Co2CuNi5
_cell_length_a 8.5656
_cell_length_b 8.5656
_cell_length_c 3.7802
_cell_angle_alpha 90.00
_cell_angle_beta 90.00
_cell_angle_gamma 90.00
_space_group_name_H-M_alt 'P 4/m b m'
_space_group_IT_number 127
_space_group_name_Hall '-P 4 2ab'
loop_
_atom_site_label
_atom_site_fract_x
_atom_site_fract_y
_atom_site_fract_z
Tm1 0.1823 0.3177 0.0000
Co1 0.1135 0.6135 0.0000
Cu1 0.0000 0.0000 0.0000
Ni1 0.0000 0.5000 0.5000
Ni2 0.0599 0.7939 0.5000
```

***

(10)
# VCoCuNi

VCoCuNi after structural relaxation (PBE, the Alexandria database).

Values from the calculation:
ΔH_f (0 K) ... -0.03 eV per atom

The structure in CIF format:
```
data_VCoCuNi
_cell_length_a 5.6878
_cell_length_b 5.6878
_cell_length_c 5.6878
_cell_angle_alpha 90.00
_cell_angle_beta 90.00
_cell_angle_gamma 90.00
_space_group_name_H-M_alt 'F -4 3 m'
_space_group_IT_number 216
_space_group_name_Hall 'F -4 2 3'
loop_
_atom_site_label
_atom_site_fract_x
_atom_site_fract_y
_atom_site_fract_z
V1 0.0000 0.0000 0.0000
Co1 0.2500 0.2500 0.7500
Cu1 0.0000 0.0000 0.5000
Ni1 0.2500 0.2500 0.2500
```

***

(11)
# CoCuNiW

CoCuNiW after structural relaxation (PBE, the Alexandria database).

Values from the calculation:
ΔH_f (0 K) ... 0.13 eV per atom

The structure in CIF format:
```
data_CoCuNiW
_cell_length_a 5.8186
_cell_length_b 5.8186
_cell_length_c 5.8186
_cell_angle_alpha 90.00
_cell_angle_beta 90.00
_cell_angle_gamma 90.00
_space_group_name_H-M_alt 'F -4 3 m'
_space_group_IT_number 216
_space_group_name_Hall 'F -4 2 3'
loop_
_atom_site_label
_atom_site_fract_x
_atom_site_fract_y
_atom_site_fract_z
Co1 0.0000 0.0000 0.0000
Cu1 0.2500 0.2500 0.2500
Ni1 0.0000 0.0000 0.5000
W1 0.2500 0.2500 0.7500
```

***

(12)
# CoCuNiW2

CoCuNiW2 after structural relaxation (PBE, the Alexandria database).

Values from the calculation:
ΔH_f (0 K) ... 1.58 eV per atom

The structure in CIF format:
```
data_CoCuNiW2
_cell_length_a 4.4296
_cell_length_b 4.4296
_cell_length_c 4.2204
_cell_angle_alpha 90.00
_cell_angle_beta 90.00
_cell_angle_gamma 90.00
_space_group_name_H-M_alt 'P 4/m m m'
_space_group_IT_number 123
_space_group_name_Hall '-P 4 2'
loop_
_atom_site_label
_atom_site_fract_x
_atom_site_fract_y
_atom_site_fract_z
Co1 0.0000 0.0000 0.0000
Cu1 0.5000 0.5000 0.0000
Ni1 0.5000 0.5000 0.5000
W1 0.0000 0.5000 0.5000
```

***

(13)
# YCoCu2Ni

YCoCu2Ni after structural relaxation (PBE, the Alexandria database).

Values from the calculation:
ΔH_f (0 K) ... 0.73 eV per atom

The structure in CIF format:
```
data_YCoCu2Ni
_cell_length_a 4.4348
_cell_length_b 4.4348
_cell_length_c 4.7786
_cell_angle_alpha 90.00
_cell_angle_beta 90.00
_cell_angle_gamma 90.00
_space_group_name_H-M_alt 'P 4/m m m'
_space_group_IT_number 123
_space_group_name_Hall '-P 4 2'
loop_
_atom_site_label
_atom_site_fract_x
_atom_site_fract_y
_atom_site_fract_z
Y1 0.0000 0.0000 0.0000
Co1 0.0000 0.0000 0.5000
Cu1 0.0000 0.5000 0.5000
Ni1 0.5000 0.5000 0.0000
```

***

(14)
# ZnCoCuNi

ZnCoCuNi after structural relaxation (PBE, the Alexandria database).

Values from the calculation:
ΔH_f (0 K) ... 0.05 eV per atom

The structure in CIF format:
```
data_ZnCoCuNi
_cell_length_a 5.7233
_cell_length_b 5.7233
_cell_length_c 5.7233
_cell_angle_alpha 90.00
_cell_angle_beta 90.00
_cell_angle_gamma 90.00
_space_group_name_H-M_alt 'F -4 3 m'
_space_group_IT_number 216
_space_group_name_Hall 'F -4 2 3'
loop_
_atom_site_label
_atom_site_fract_x
_atom_site_fract_y
_atom_site_fract_z
Zn1 0.0000 0.0000 0.0000
Co1 0.2500 0.2500 0.2500
Cu1 0.0000 0.0000 0.5000
Ni1 0.2500 0.2500 0.7500
```

***

(15)
# ZrCoCuNi

ZrCoCuNi after structural relaxation (PBE, the Alexandria database).

Values from the calculation:
ΔH_f (0 K) ... -0.18 eV per atom

The structure in CIF format:
```
data_ZrCoCuNi
_cell_length_a 6.0230
_cell_length_b 6.0230
_cell_length_c 6.0230
_cell_angle_alpha 90.00
_cell_angle_beta 90.00
_cell_angle_gamma 90.00
_space_group_name_H-M_alt 'F -4 3 m'
_space_group_IT_number 216
_space_group_name_Hall 'F -4 2 3'
loop_
_atom_site_label
_atom_site_fract_x
_atom_site_fract_y
_atom_site_fract_z
Zr1 0.0000 0.0000 0.0000
Co1 0.2500 0.2500 0.7500
Cu1 0.0000 0.0000 0.5000
Ni1 0.2500 0.2500 0.2500
```

***

It is found that the final energy values, taken in the order of the records, are -6.18; -4.56; -5.67; -5.21; -5.27; -3.49; -7.32; -6.60; -5.78; -6.56; -7.35; -7.00; -4.78; -4.52; -6.56 eV/atom.